(w)
Density functional theory data (PBEsol) for an optimized crystal structure of SrMn2Ru.

```
data_SrMn2Ru
_chemical_formula_sum 'Sr3 Mn6 Ru3'
_cell_length_a 4.1351
_cell_length_b 4.1351
_cell_length_c 16.3713
_cell_angle_alpha 90.00
_cell_angle_beta 90.00
_cell_angle_gamma 120.00
_space_group_name_H-M_alt 'R -3 m'
_space_group_IT_number 166
_space_group_name_Hall '-R 3 2"'
loop_
_atom_site_label
_atom_site_type_symbol
_atom_site_fract_x
_atom_site_fract_y
_atom_site_fract_z
_atom_site_occupancy
Sr1 Sr 0.0000 0.0000 0.0000 1
Mn1 Mn 0.0000 0.0000 0.1949 1
Ru1 Ru 0.0000 0.0000 0.5000 1
```

Results
D(E_F) in states/eV per cell: 16.52

=====

(x)
Density functional theory data (PBEsol) for an optimized crystal structure of SrMn2Ru.

```
data_SrMn2Ru
_chemical_formula_sum 'Sr1 Mn2 Ru1'
_cell_length_a 2.9754
_cell_length_b 2.9754
_cell_length_c 7.6712
_cell_angle_alpha 90.00
_cell_angle_beta 90.00
_cell_angle_gamma 90.00
_space_group_name_H-M_alt 'P 4 m m'
_space_group_IT_number 99
loop_
_space_group_symop_operation_xyz
'x,y,z'
'-y,x,z'
'-x,-y,z'
'y,-x,z'
'-x,y,z'
'y,x,z'
'x,-y,z'
'-y,-x,z'
loop_
_atom_site_label
_atom_site_type_symbol
_atom_site_fract_x
_atom_site_fract_y
_atom_site_fract_z
_atom_site_occupancy
Sr1 Sr 0.0000 0.0000 0.0000 1
Mn1 Mn 0.0000 0.0000 0.5264 1
Mn2 Mn 0.5000 0.5000 0.3370 1
Ru1 Ru 0.5000 0.5000 0.6932 1
```

Results
D(E_F) in states/eV per cell: 4.38

=====

Most stable: (w)

=====

(w)
Density functional theory data (PBEsol) for an optimized crystal structure of MnTeRu.

```
data_MnTeRu
_chemical_formula_sum 'Mn2 Te2 Ru2'
_cell_length_a 3.1933
_cell_length_b 3.7695
_cell_length_c 7.9876
_cell_angle_alpha 90.00
_cell_angle_beta 90.00
_cell_angle_gamma 90.00
_space_group_name_H-M_alt 'I m m 2'
_space_group_IT_number 44
loop_
_space_group_symop_operation_xyz
'x,y,z'
'-x,-y,z'
'-x,y,z'
'x,-y,z'
'x+1/2,y+1/2,z+1/2'
'-x+1/2,-y+1/2,z+1/2'
'-x+1/2,y+1/2,z+1/2'
'x+1/2,-y+1/2,z+1/2'
loop_
_atom_site_label
_atom_site_type_symbol
_atom_site_fract_x
_atom_site_fract_y
_atom_site_fract_z
_atom_site_occupancy
Mn1 Mn 0.0000 0.0000 0.0000 1
Te1 Te 0.0000 0.0000 0.3220 1
Ru1 Ru 0.0000 0.0000 0.6537 1
```

Results
D(E_F) in states/eV per cell: 4.43

=====

(x)
Density functional theory data (PBEsol) for an optimized crystal structure of MnTeRu.

```
data_MnTeRu
_chemical_formula_sum 'Mn4 Te4 Ru4'
_cell_length_a 5.9887
_cell_length_b 5.9887
_cell_length_c 5.9887
_cell_angle_alpha 90.00
_cell_angle_beta 90.00
_cell_angle_gamma 90.00
_space_group_name_H-M_alt 'F -4 3 m'
_space_group_IT_number 216
_space_group_name_Hall 'F -4 2 3'
loop_
_atom_site_label
_atom_site_type_symbol
_atom_site_fract_x
_atom_site_fract_y
_atom_site_fract_z
_atom_site_occupancy
Mn1 Mn 0.0000 0.0000 0.0000 1
Te1 Te 0.0000 0.0000 0.5000 1
Ru1 Ru 0.2500 0.2500 0.2500 1
```

Results
D(E_F) in states/eV per cell: 3.80

=====

Most stable: (x)

=====

(w)
Density functional theory data (PBEsol) for an optimized crystal structure of MnRu2W.

```
data_MnRu2W
_chemical_formula_sum 'Mn1 Ru2 W1'
_cell_length_a 3.7950
_cell_length_b 3.7950
_cell_length_c 3.7172
_cell_angle_alpha 90.00
_cell_angle_beta 90.00
_cell_angle_gamma 90.00
_space_group_name_H-M_alt 'P 4/m m m'
_space_group_IT_number 123
_space_group_name_Hall '-P 4 2'
loop_
_atom_site_label
_atom_site_type_symbol
_atom_site_fract_x
_atom_site_fract_y
_atom_site_fract_z
_atom_site_occupancy
Mn1 Mn 0.0000 0.0000 0.0000 1
Ru1 Ru 0.0000 0.5000 0.5000 1
W1 W 0.5000 0.5000 0.0000 1
```

Results
D(E_F) in states/eV per cell: 4.40

=====

(x)
Density functional theory data (PBEsol) for an optimized crystal structure of MnRu2W.

```
data_MnRu2W
_chemical_formula_sum 'Mn2 Ru4 W2'
_cell_length_a 5.2846
_cell_length_b 8.6381
_cell_length_c 2.6504
_cell_angle_alpha 90.00
_cell_angle_beta 114.51
_cell_angle_gamma 90.00
_space_group_name_H-M_alt 'C 1 2/m 1'
_space_group_IT_number 12
loop_
_space_group_symop_operation_xyz
'x,y,z'
'-x,-y,-z'
'-x,y,-z'
'x,-y,z'
'x+1/2,y+1/2,z'
'-x+1/2,-y+1/2,-z'
'-x+1/2,y+1/2,-z'
'x+1/2,-y+1/2,z'
loop_
_atom_site_label
_atom_site_type_symbol
_atom_site_fract_x
_atom_site_fract_y
_atom_site_fract_z
_atom_site_occupancy
Mn1 Mn 0.0000 0.0000 0.0000 1
Ru1 Ru 0.2500 0.2500 0.5000 1
W1 W 0.0000 0.5000 0.0000 1
```

Results
D(E_F) in states/eV per cell: 9.95

=====

Most stable: (w)

=====

(w)
Density functional theory data (PBEsol) for an optimized crystal structure of MnRu2W.

```
data_MnRu2W
_chemical_formula_sum 'Mn1 Ru2 W1'
_cell_length_a 2.6789
_cell_length_b 2.6789
_cell_length_c 7.3910
_cell_angle_alpha 90.00
_cell_angle_beta 90.00
_cell_angle_gamma 90.00
_space_group_name_H-M_alt 'P 4 m m'
_space_group_IT_number 99
loop_
_space_group_symop_operation_xyz
'x,y,z'
'-y,x,z'
'-x,-y,z'
'y,-x,z'
'-x,y,z'
'y,x,z'
'x,-y,z'
'-y,-x,z'
loop_
_atom_site_label
_atom_site_type_symbol
_atom_site_fract_x
_atom_site_fract_y
_atom_site_fract_z
_atom_site_occupancy
Mn1 Mn 0.0000 0.0000 0.0000 1
Ru1 Ru 0.0000 0.0000 0.4787 1
Ru2 Ru 0.5000 0.5000 0.2182 1
W1 W 0.5000 0.5000 0.7466 1
```

Results
D(E_F) in states/eV per cell: 4.72

=====

(x)
Density functional theory data (PBEsol) for an optimized crystal structure of MnRu2W.

```
data_MnRu2W
_chemical_formula_sum 'Mn4 Ru8 W4'
_cell_length_a 6.0629
_cell_length_b 6.0629
_cell_length_c 6.0629
_cell_angle_alpha 90.00
_cell_angle_beta 90.00
_cell_angle_gamma 90.00
_space_group_name_H-M_alt 'F m -3 m'
_space_group_IT_number 225
_space_group_name_Hall '-F 4 2 3'
loop_
_atom_site_label
_atom_site_type_symbol
_atom_site_fract_x
_atom_site_fract_y
_atom_site_fract_z
_atom_site_occupancy
Mn1 Mn 0.0000 0.0000 0.0000 1
Ru1 Ru 0.2500 0.2500 0.2500 1
W1 W 0.0000 0.0000 0.5000 1
```

Results
D(E_F) in states/eV per cell: 8.36

=====

(y)
Density functional theory data (PBEsol) for an optimized crystal structure of MnRu2W.

```
data_MnRu2W
_chemical_formula_sum 'Mn3 Ru6 W3'
_cell_length_a 2.6808
_cell_length_b 2.6808
_cell_length_c 25.9230
_cell_angle_alpha 90.00
_cell_angle_beta 90.00
_cell_angle_gamma 120.00
_space_group_name_H-M_alt 'R 3 m'
_space_group_IT_number 160
_space_group_name_Hall 'R 3 -2"'
loop_
_atom_site_label
_atom_site_type_symbol
_atom_site_fract_x
_atom_site_fract_y
_atom_site_fract_z
_atom_site_occupancy
Mn1 Mn 0.0000 0.0000 0.0000 1
Ru1 Ru 0.0000 0.0000 0.2578 1
Ru2 Ru 0.0000 0.0000 0.5044 1
W1 W 0.0000 0.0000 0.7525 1
```

Results
D(E_F) in states/eV per cell: 13.99

=====

Most stable: (x)

=====

(w)
Density functional theory data (PBEsol) for an optimized crystal structure of MnZnRu.

```
data_MnZnRu
_chemical_formula_sum 'Mn4 Zn4 Ru4'
_cell_length_a 5.6806
_cell_length_b 5.6806
_cell_length_c 5.6806
_cell_angle_alpha 90.00
_cell_angle_beta 90.00
_cell_angle_gamma 90.00
_space_group_name_H-M_alt 'F -4 3 m'
_space_group_IT_number 216
_space_group_name_Hall 'F -4 2 3'
loop_
_atom_site_label
_atom_site_type_symbol
_atom_site_fract_x
_atom_site_fract_y
_atom_site_fract_z
_atom_site_occupancy
Mn1 Mn 0.0000 0.0000 0.0000 1
Zn1 Zn 0.2500 0.2500 0.7500 1
Ru1 Ru 0.0000 0.0000 0.5000 1
```

Results
D(E_F) in states/eV per cell: 11.33

=====

(x)
Density functional theory data (PBEsol) for an optimized crystal structure of MnZnRu.

```
data_MnZnRu
_chemical_formula_sum 'Mn2 Zn2 Ru2'
_cell_length_a 2.7520
_cell_length_b 2.7520
_cell_length_c 9.7342
_cell_angle_alpha 90.00
_cell_angle_beta 90.00
_cell_angle_gamma 90.00
_space_group_name_H-M_alt 'I 4 m m'
_space_group_IT_number 107
_space_group_name_Hall 'I 4 -2'
loop_
_atom_site_label
_atom_site_type_symbol
_atom_site_fract_x
_atom_site_fract_y
_atom_site_fract_z
_atom_site_occupancy
Mn1 Mn 0.0000 0.0000 0.0000 1
Zn1 Zn 0.0000 0.0000 0.3331 1
Ru1 Ru 0.0000 0.0000 0.6497 1
```

Results
D(E_F) in states/eV per cell: 5.54

=====

Most stable: (x)

=====

(w)
Density functional theory data (PBEsol) for an optimized crystal structure of ZrMn2Ru.

```
data_ZrMn2Ru
_chemical_formula_sum 'Zr4 Mn8 Ru4'
_cell_length_a 6.0413
_cell_length_b 6.0413
_cell_length_c 6.0413
_cell_angle_alpha 90.00
_cell_angle_beta 90.00
_cell_angle_gamma 90.00
_space_group_name_H-M_alt 'F m -3 m'
_space_group_IT_number 225
_space_group_name_Hall '-F 4 2 3'
loop_
_atom_site_label
_atom_site_type_symbol
_atom_site_fract_x
_atom_site_fract_y
_atom_site_fract_z
_atom_site_occupancy
Zr1 Zr 0.0000 0.0000 0.0000 1
Mn1 Mn 0.2500 0.2500 0.2500 1
Ru1 Ru 0.0000 0.0000 0.5000 1
```

Results
D(E_F) in states/eV per cell: 31.63

=====

(x)
Density functional theory data (PBEsol) for an optimized crystal structure of ZrMn2Ru.

```
data_ZrMn2Ru
_chemical_formula_sum 'Zr1 Mn2 Ru1'
_cell_length_a 2.9842
_cell_length_b 2.9842
_cell_length_c 6.4661
_cell_angle_alpha 90.00
_cell_angle_beta 90.00
_cell_angle_gamma 90.00
_space_group_name_H-M_alt 'P 4/m m m'
_space_group_IT_number 123
_space_group_name_Hall '-P 4 2'
loop_
_atom_site_label
_atom_site_type_symbol
_atom_site_fract_x
_atom_site_fract_y
_atom_site_fract_z
_atom_site_occupancy
Zr1 Zr 0.0000 0.0000 0.0000 1
Mn1 Mn 0.5000 0.5000 0.2830 1
Ru1 Ru 0.0000 0.0000 0.5000 1
```

Results
D(E_F) in states/eV per cell: 5.52

=====

Most stable: (w)